An optimized crystal structure of Sr2CaAl, computed with GGA-PBEsol.

Output
DFT total energy: -2.531 eV/atom
SG: P4mm
total moment: 0.0001 μB per atom
DOS at the Fermi energy: 0.978 states/eV/atom

Geometry as POSCAR:
```
Sr2CaAl
1.0
-2.636 -2.862 -0.039
1.004 -0.875 -3.656
6.863 -6.368 3.410
Sr Al Ca
2 1 1
Direct
0.000 0.000 0.984
0.500 0.500 0.317
0.000 0.000 0.517
0.500 0.500 0.683
```

=====

An optimized crystal structure of SrCaAl2, computed with GGA-PBEsol.

Output
DFT total energy: -3.011 eV/atom
SG: I-4m2
total moment: 0.0000 μB per atom
DOS at the Fermi energy: 0.580 states/eV/atom

Geometry as POSCAR:
```
SrCaAl2
1.0
-0.488 -0.920 -4.659
-3.542 -3.050 0.973
-1.108 5.495 1.477
Al Sr Ca
2 1 1
Direct
0.000 0.000 0.000
0.750 0.250 0.500
0.250 0.750 0.500
0.500 0.500 0.000
```

=====

An optimized crystal structure of SrCaAl, computed with GGA-PBEsol.

Output
DFT total energy: -2.791 eV/atom
SG: I4mm
total moment: 0.0000 μB per atom
DOS at the Fermi energy: 0.853 states/eV/atom

Geometry as POSCAR:
```
SrCaAl
1.0
3.820 0.000 0.000
0.000 3.820 0.000
-1.910 -1.910 6.818
Ca Sr Al
1 1 1
Direct
0.368 0.368 0.735
0.640 0.640 0.279
0.993 0.993 0.986
```

=====

An optimized crystal structure of SrCaAl2, computed with GGA-PBEsol.

Output
DFT total energy: -3.217 eV/atom
SG: Amm2
total moment: 0.0000 μB per atom
DOS at the Fermi energy: 0.517 states/eV/atom

Geometry as POSCAR:
```
SrCaAl2
1.0
4.012 0.000 0.000
0.000 4.581 0.000
-2.006 0.000 6.238
Ca Sr Al
1 1 2
Direct
0.101 0.000 0.202
0.405 0.500 0.809
0.804 0.000 0.608
0.684 0.500 0.369
```

=====

An optimized crystal structure of Sr2CaAl, computed with GGA-PBEsol.

Output
DFT total energy: -2.526 eV/atom
SG: P4/mmm
total moment: 0.0000 μB per atom
DOS at the Fermi energy: 0.813 states/eV/atom

Geometry as POSCAR:
```
Sr2CaAl
1.0
-3.637 -0.335 1.423
1.029 -3.298 1.852
2.599 5.235 7.878
Al Ca Sr
1 1 2
Direct
0.500 0.500 0.000
0.500 0.500 0.500
0.000 0.000 0.806
0.000 0.000 0.194
```

=====

An optimized crystal structure of Sr2CaAl, computed with GGA-PBEsol.

Output
DFT total energy: -2.427 eV/atom
SG: Immm
total moment: 0.0152 μB per atom
DOS at the Fermi energy: 1.330 states/eV/atom

Geometry as POSCAR:
```
Sr2CaAl
1.0
4.008 0.000 0.000
0.000 5.875 0.000
-2.004 -2.937 6.318
Sr Al Ca
2 1 1
Direct
0.704 0.704 0.408
0.296 0.296 0.592
0.000 0.500 0.000
0.500 0.000 0.000
```

=====

An optimized crystal structure of Sr2CaAl2, computed with GGA-PBEsol.

Output
DFT total energy: -2.889 eV/atom
SG: P4/mbm
total moment: 0.0000 μB per atom
DOS at the Fermi energy: 0.912 states/eV/atom

Geometry as POSCAR:
```
Sr2CaAl2
1.0
-0.558 4.223 -0.517
-0.468 -1.125 -8.685
-8.683 -1.073 0.607
Ca Sr Al
2 4 4
Direct
0.000 0.500 0.500
0.000 0.000 0.000
0.500 0.679 0.821
0.500 0.321 0.179
0.500 0.821 0.321
0.500 0.179 0.679
0.000 0.111 0.389
0.000 0.889 0.611
0.000 0.611 0.111
0.000 0.389 0.889
```

=====

An optimized crystal structure of Sr2CaAl, computed with GGA-PBEsol.

Output
DFT total energy: -2.462 eV/atom
SG: P4/mmm
total moment: 0.0002 μB per atom
DOS at the Fermi energy: 1.131 states/eV/atom

Geometry as POSCAR:
```
Sr2CaAl
1.0
-2.251 2.115 3.398
-3.867 -3.956 -0.099
2.882 -2.910 3.721
Al Ca Sr
1 1 2
Direct
0.500 0.500 0.500
0.500 0.000 0.000
0.000 0.000 0.500
0.000 0.500 0.000
```